## Ce4BiI5 (PBE)

Data for a geometry-optimized Ce4BiI5 structure.

abc: 4.363 9.433 9.938
angles: 99.87 102.68 90.00
Each line ends with the local moment (μB).
Atoms (fractional coordinates):
I 0.169 0.320 0.339  -0.01
I 0.167 0.804 0.334  -0.01
Ce 0.002 0.240 0.004  1.10
Ce 0.332 0.938 0.664  1.23
Ce 0.998 0.760 0.996  1.10
Bi 0.500 0.000 0.000  -0.03
Ce 0.668 0.062 0.336  1.23
I 0.500 0.500 0.000  -0.01
I 0.833 0.196 0.666  -0.01
I 0.831 0.680 0.661  -0.01

Computed properties:
The energy relative to the elements, uncorrected comes out at -102.8 kJ per mole of atoms. The calculation puts the energy above the most stable polymorph in this dataset at 0 meV/atom. The final energy comes out at -46.023 eV/cell. Its crystal system is monoclinic.

## LaCeBiI (PBE)

Data for a geometry-optimized LaCeBiI structure.

abc: 5.623 5.623 5.623
angles: 60.00 60.00 60.00
Each line ends with the local moment (μB).
Atoms (fractional coordinates):
I 0.000 0.000 0.000  -0.02
Bi 0.500 0.500 0.500  -0.04
La 0.250 0.250 0.250  0.26
Ce 0.750 0.750 0.750  1.18

Computed properties:
The energy relative to the elements, uncorrected comes out at -83.1 kJ per mole of atoms. The final energy comes out at -19.737 eV/cell. Its crystal system is cubic.

## CeBiIO6 (PBE)

Data for a geometry-optimized CeBiIO6 structure.

abc: 5.803 5.803 9.721
angles: 90.00 90.00 120.00
Atoms (fractional coordinates):
Ce 0.333 0.667 0.250
O 0.340 0.360 0.865
O 0.360 0.340 0.365
O 0.640 0.980 0.865
O 0.360 0.020 0.135
Bi 0.000 0.000 0.500
O 0.020 0.660 0.865
Bi 0.000 0.000 0.000
Ce 0.667 0.333 0.750
O 0.640 0.660 0.635
O 0.020 0.360 0.635
O 0.340 0.980 0.635
I 0.333 0.667 0.750
O 0.660 0.640 0.135
O 0.980 0.640 0.365
O 0.980 0.340 0.135
I 0.667 0.333 0.250
O 0.660 0.020 0.365

Computed properties:
The energy relative to the elements, uncorrected comes out at -142.6 kJ per mole of atoms. The final energy comes out at -108.828 eV/cell. Its crystal system is trigonal.

## CePrBiI (PBE)

Data for a geometry-optimized CePrBiI structure.

abc: 5.593 5.593 5.593
angles: 60.00 60.00 60.00
Each line ends with the local moment (μB).
Atoms (fractional coordinates):
I 0.000 0.000 0.000  -0.02
Ce 0.750 0.750 0.750  1.11
Pr 0.250 0.250 0.250  0.26
Bi 0.500 0.500 0.500  -0.04

Computed properties:
The energy relative to the elements, uncorrected comes out at -78.4 kJ per mole of atoms. The final energy comes out at -19.393 eV/cell. Its crystal system is cubic.

## CePuBiI (PBE)

Data for a geometry-optimized CePuBiI structure.

abc: 5.529 5.529 5.529
angles: 60.00 60.00 60.00
Each line ends with the local moment (μB).
Atoms (fractional coordinates):
I 0.750 0.750 0.750  0.05
Bi 0.250 0.250 0.250  0.13
Ce 0.500 0.500 0.500  -1.25
Pu 0.000 0.000 0.000  -5.72

Computed properties:
The energy relative to the elements, uncorrected comes out at -62.4 kJ per mole of atoms. The final energy comes out at -28.283 eV/cell. Its crystal system is cubic.

## Ce2InBi4 (PBE)

Data for a geometry-optimized Ce2InBi4 structure.

abc: 7.048 7.048 6.721
angles: 121.65 121.65 90.13
Each line ends with the local moment (μB).
Atoms (fractional coordinates):
Bi 0.286 0.786 0.071  -0.02
Bi 0.786 0.286 0.071  -0.02
Bi 0.786 0.786 0.072  -0.03
Bi 0.286 0.286 0.071  -0.02
In 0.786 0.786 0.571  0.01
Ce 0.286 0.786 0.571  0.64
Ce 0.786 0.286 0.571  0.64

Computed properties:
The calculation puts the energy above the most stable polymorph in this dataset at 0 meV/atom. The final energy comes out at -33.391 eV/cell. Its crystal system is monoclinic. For the calculated formation energy, the calculation gives -0.466 eV/atom.

## CeIn2Bi2 (PBE)

Data for a geometry-optimized CeIn2Bi2 structure.

abc: 5.187 5.187 13.547
angles: 90.00 90.00 120.00
Each line ends with the local moment (μB).
Atoms (fractional coordinates):
Bi 0.333 0.667 0.612  -0.01
In 0.667 0.333 0.750  0.02
In 0.000 0.000 0.000  0.01
In 0.333 0.667 0.250  0.02
Ce 0.000 0.000 0.250  0.73
Bi 0.333 0.667 0.888  -0.01
Ce 0.000 0.000 0.750  0.73
Bi 0.667 0.333 0.112  -0.01
Bi 0.667 0.333 0.388  -0.01
In 0.000 0.000 0.500  0.01

Computed properties:
The final energy comes out at -39.187 eV/cell. Its crystal system is hexagonal. For the calculated formation energy, the calculation gives -0.084 eV/atom.

## Ce2InBi (PBE)

Data for a geometry-optimized Ce2InBi structure.

abc: 4.511 5.075 5.075
angles: 90.00 90.00 90.00
Each line ends with the local moment (μB).
Atoms (fractional coordinates):
Ce 0.000 0.000 0.500  0.94
Ce 0.000 0.500 0.000  0.94
In 0.500 0.000 0.000  -0.01
Bi 0.500 0.500 0.500  -0.04

Computed properties:
The calculation puts the energy above the most stable polymorph in this dataset at 21 meV/atom. The final energy comes out at -20.360 eV/cell. Its crystal system is tetragonal. For the calculated formation energy, the calculation gives -0.468 eV/atom.

Calculated size of the total moment (μB/cell), listed in the same order as above: 5.8; 2.1; 0.0; 1.9; 7.9; 1.3; 1.7; 2.4